A plane-wave DFT calculation with PBE was carried out for a relaxed structure of TaC2.

Output
Energy relative to the lowest polymorph listed for this composition   78.4 meV/atom
Fermi-level density of states   1.9 states/eV per cell
ΔH_f (0 K)   0.85 eV per formula unit
Crystal system   monoclinic
VASP energy   -9.817 eV per atom
M_tot   0.00 μB/f.u.

abc: 11.456 2.796 3.724
angles: 90.00 96.41 90.00
Space group C2/m (No. 12)
Inequivalent atoms, fractional coordinates:
Ta  0.124  0.000  0.066 x4
C  0.005  0.500  0.689 x4
C  0.236  0.000  0.602 x4